i.
Tb3Dy2Tm6: relaxed, PBE.

```
data_Tb3Dy2Tm6
_space_group_name_H-M_alt 'P 1'
_space_group_IT_number 1
_cell_length_a 31.470
_cell_length_b 31.470
_cell_length_c 31.470
_cell_angle_alpha 6.40
_cell_angle_beta 6.40
_cell_angle_gamma 6.40
loop_
_space_group_symop_operation_xyz
'x,y,z'
loop_
_atom_site_label
_atom_site_fract_x
_atom_site_fract_y
_atom_site_fract_z
Tb1 0.000 0.000 0.000
Tb2 0.273 0.273 0.273
Tb3 0.727 0.727 0.727
Dy1 0.455 0.455 0.455
Dy2 0.545 0.545 0.545
Tm1 0.091 0.091 0.091
Tm2 0.182 0.182 0.182
Tm3 0.364 0.364 0.364
Tm4 0.636 0.636 0.636
Tm5 0.818 0.818 0.818
Tm6 0.909 0.909 0.909
```

Values from the calculation:
The density of states at the Fermi level comes out at 1.369 states/eV per atom.

ii.
Tb3Dy2Tm6: relaxed, PBE.

```
data_Tb3Dy2Tm6
_space_group_name_H-M_alt 'P 1'
_space_group_IT_number 1
_cell_length_a 16.750
_cell_length_b 16.750
_cell_length_c 16.750
_cell_angle_alpha 163.97
_cell_angle_beta 163.97
_cell_angle_gamma 22.74
loop_
_space_group_symop_operation_xyz
'x,y,z'
loop_
_atom_site_label
_atom_site_fract_x
_atom_site_fract_y
_atom_site_fract_z
Tb1 0.000 0.000 0.000
Tb2 0.202 0.202 0.000
Tb3 0.798 0.798 0.000
Dy1 0.454 0.454 0.000
Dy2 0.546 0.546 0.000
Tm1 0.122 0.622 0.500
Tm2 0.305 0.305 0.000
Tm3 0.378 0.878 0.500
Tm4 0.622 0.122 0.500
Tm5 0.695 0.695 0.000
Tm6 0.878 0.378 0.500
```

Values from the calculation:
The density of states at the Fermi level comes out at 1.605 states/eV per atom.

i wins, 0.262 eV/atom ahead of the next structure.

i.
Tb6DyTm: relaxed, PBE.

```
data_Tb6DyTm
_space_group_name_H-M_alt 'P 1'
_space_group_IT_number 1
_cell_length_a 5.011
_cell_length_b 5.011
_cell_length_c 10.021
_cell_angle_alpha 90.00
_cell_angle_beta 90.00
_cell_angle_gamma 90.00
loop_
_space_group_symop_operation_xyz
'x,y,z'
loop_
_atom_site_label
_atom_site_fract_x
_atom_site_fract_y
_atom_site_fract_z
Tb1 0.000 0.000 0.000
Tb2 0.000 0.000 0.500
Tb3 0.000 0.500 0.249
Tb4 0.000 0.500 0.751
Tb5 0.500 0.000 0.249
Tb6 0.500 0.000 0.751
Dy1 0.500 0.500 0.500
Tm1 0.500 0.500 0.000
```

Values from the calculation:
The density of states at the Fermi level comes out at 1.522 states/eV per atom.

ii.
Tb6DyTm: relaxed, PBE.

```
data_Tb6DyTm
_space_group_name_H-M_alt 'P 1'
_space_group_IT_number 1
_cell_length_a 6.514
_cell_length_b 6.717
_cell_length_c 6.889
_cell_angle_alpha 118.89
_cell_angle_beta 102.73
_cell_angle_gamma 90.16
loop_
_space_group_symop_operation_xyz
'x,y,z'
loop_
_atom_site_label
_atom_site_fract_x
_atom_site_fract_y
_atom_site_fract_z
Tb1 0.229 0.404 0.476
Tb2 0.249 0.949 0.999
Tb3 0.269 0.924 0.520
Tb4 0.731 0.076 0.480
Tb5 0.751 0.051 0.001
Tb6 0.771 0.596 0.524
Dy1 0.500 0.500 0.000
Tm1 0.000 0.500 0.000
```

Values from the calculation:
The density of states at the Fermi level comes out at 1.725 states/eV per atom.

i wins, 0.183 eV/atom ahead of the next structure.

i.
Tb5DyTm: relaxed, PBE.

```
data_Tb5DyTm
_space_group_name_H-M_alt 'P 1'
_space_group_IT_number 1
_cell_length_a 7.688
_cell_length_b 7.688
_cell_length_c 7.688
_cell_angle_alpha 117.63
_cell_angle_beta 81.50
_cell_angle_gamma 133.17
loop_
_space_group_symop_operation_xyz
'x,y,z'
loop_
_atom_site_label
_atom_site_fract_x
_atom_site_fract_y
_atom_site_fract_z
Tb1 0.000 0.000 0.000
Tb2 0.488 0.733 0.755
Tb3 0.736 0.057 0.321
Tb4 0.736 0.414 0.679
Tb5 0.978 0.733 0.245
Dy1 0.237 0.737 0.500
Tm1 0.476 0.476 0.000
```

Values from the calculation:
The density of states at the Fermi level comes out at 1.179 states/eV per atom.

ii.
Tb5DyTm: relaxed, PBE.

```
data_Tb5DyTm
_space_group_name_H-M_alt 'P 1'
_space_group_IT_number 1
_cell_length_a 6.727
_cell_length_b 6.727
_cell_length_c 12.219
_cell_angle_alpha 108.22
_cell_angle_beta 108.22
_cell_angle_gamma 59.66
loop_
_space_group_symop_operation_xyz
'x,y,z'
loop_
_atom_site_label
_atom_site_fract_x
_atom_site_fract_y
_atom_site_fract_z
Tb1 0.084 0.352 0.743
Tb2 0.084 0.916 0.750
Tb3 0.159 0.680 0.998
Tb4 0.320 0.841 0.502
Tb5 0.352 0.084 0.243
Tb6 0.648 0.916 0.757
Tb7 0.680 0.159 0.498
Tb8 0.841 0.320 0.002
Tb9 0.916 0.084 0.250
Tb10 0.916 0.648 0.257
Dy1 0.471 0.529 0.250
Dy2 0.529 0.471 0.750
Tm1 0.000 0.500 0.500
Tm2 0.500 0.000 0.000
```

Values from the calculation:
The density of states at the Fermi level comes out at 1.100 states/eV per atom.

ii wins, 0.773 eV/atom ahead of the next structure.

i.
Tb3DyTm5: relaxed, PBE.

```
data_Tb3DyTm5
_space_group_name_H-M_alt 'P 1'
_space_group_IT_number 1
_cell_length_a 9.387
_cell_length_b 9.387
_cell_length_c 9.895
_cell_angle_alpha 121.57
_cell_angle_beta 121.57
_cell_angle_gamma 73.20
loop_
_space_group_symop_operation_xyz
'x,y,z'
loop_
_atom_site_label
_atom_site_fract_x
_atom_site_fract_y
_atom_site_fract_z
Tb1 0.000 0.000 0.000
Tb2 0.010 0.010 0.310
Tb3 0.477 0.477 0.134
Tb4 0.500 0.500 0.500
Tb5 0.523 0.523 0.866
Tb6 0.990 0.990 0.690
Dy1 0.250 0.250 0.102
Dy2 0.750 0.750 0.898
Tm1 0.096 0.597 0.749
Tm2 0.218 0.218 0.727
Tm3 0.239 0.761 0.500
Tm4 0.278 0.278 0.464
Tm5 0.403 0.904 0.251
Tm6 0.597 0.096 0.749
Tm7 0.722 0.722 0.536
Tm8 0.761 0.239 0.500
Tm9 0.782 0.782 0.273
Tm10 0.904 0.403 0.251
```

Values from the calculation:
The density of states at the Fermi level comes out at 1.302 states/eV per atom.

ii.
Tb3DyTm5: relaxed, PBE.

```
data_Tb3DyTm5
_space_group_name_H-M_alt 'P 1'
_space_group_IT_number 1
_cell_length_a 9.770
_cell_length_b 9.770
_cell_length_c 7.129
_cell_angle_alpha 90.00
_cell_angle_beta 90.00
_cell_angle_gamma 55.74
loop_
_space_group_symop_operation_xyz
'x,y,z'
loop_
_atom_site_label
_atom_site_fract_x
_atom_site_fract_y
_atom_site_fract_z
Tb1 0.000 0.000 0.000
Tb2 0.000 0.000 0.500
Tb3 0.190 0.192 0.250
Tb4 0.192 0.190 0.750
Tb5 0.808 0.810 0.250
Tb6 0.810 0.808 0.750
Dy1 0.302 0.698 0.750
Dy2 0.698 0.302 0.250
Tm1 0.157 0.521 0.501
Tm2 0.157 0.521 0.999
Tm3 0.342 0.658 0.250
Tm4 0.479 0.843 0.501
Tm5 0.479 0.843 0.999
Tm6 0.521 0.157 0.001
Tm7 0.521 0.157 0.499
Tm8 0.658 0.342 0.750
Tm9 0.843 0.479 0.001
Tm10 0.843 0.479 0.499
```

Values from the calculation:
The density of states at the Fermi level comes out at 1.261 states/eV per atom.

ii wins, 0.406 eV/atom ahead of the next structure.